{"formula": "Re2SeO", "functional": "PBE", "state": "optimized geometry", "de_polymorph_mev_per_atom": 0, "raw_formation_energy_ev_per_atom": 0.118, "vol_a3_per_atom": 15.42, "total_energy_ev_per_cell": -65.734, "cell": [[-2.096, 2.096, 7.020], [2.096, -2.096, 7.020], [2.096, 2.096, -7.020]], "species": ["Re", "Re", "Re", "Re", "Se", "Se", "O", "O"], "fractional_positions": [[0.041, 0.625, 0.916], [0.375, 0.291, 0.416], [0.709, 0.125, 0.084], [0.875, 0.959, 0.584], [0.250, 0.750, 0.500], [0.500, 0.500, 0.000], [0.000, 0.000, 0.000], [0.750, 0.250, 0.500]]}